GaFe2SnO6 | PBE+U | relaxed

total moment	4.953	μB/cell
space-group type	R3, No. 146
E_tot	-6.207	eV per atom

Lattice parameters (Å, degrees): 5.533 5.533 5.533 56.18 56.18 56.18
Positions (direct):
Ga 0.000 0.000 0.000
Fe 0.296 0.296 0.296
Fe 0.792 0.792 0.792
Sn 0.501 0.501 0.501
O 0.087 0.392 0.709
O 0.189 0.896 0.604
O 0.392 0.709 0.087
O 0.604 0.189 0.896
O 0.709 0.087 0.392
O 0.896 0.604 0.189